Pm2Dy3Cd6 (PBE, relaxed); VASP energy = -27.77 eV/f.u.; E_form = 0.0933 eV per atom; SG = I4/mmm, No. 139
1.0
5.0108 0.0000 0.0000
0.0000 5.0108 0.0000
-2.5054 -2.5054 13.9583
Dy Cd Pm
3 6 2
Cartesian
0.0000 0.0000 0.0000
2.5054 2.5054 10.2217
0.0000 0.0000 3.7366
2.5054 2.5054 7.0331
0.0000 2.5054 1.7784
0.0000 2.5054 12.1799
2.5054 0.0000 12.1799
2.5054 0.0000 1.7784
0.0000 0.0000 6.9252
0.0000 0.0000 10.1738
2.5054 2.5054 3.7845